Record 1
The following is a DFT calculation (PBE) of a geometry-optimized Ba2TmInS5 structure.

As for the spin magnetization: 0.0 μB/cell. Its total DFT energy (no corrections) is -5.236 eV per atom. As for the uncorrected formation energy: -1.715 eV/atom.

It has space group Cmc2_1 (No. 36), with a = 4.1291 Å, b = 18.2947 Å, c = 13.0126 Å, α = 90.00°, β = 90.00° and γ = 90.00°. The inequivalent atoms are Ba at (0.0000, 0.1168, 0.0000), Ba at (0.0000, 0.1335, 0.6314), Tm at (0.0000, 0.2124, 0.3386), In at (0.0000, 0.4464, 0.7602), S at (0.0000, 0.0541, 0.3702), S at (0.0000, 0.2897, 0.9728), S at (0.0000, 0.3127, 0.6960), S at (0.0000, 0.3539, 0.3199) and S at (0.0000, 0.4964, 0.0926).


Record 2
The following is a DFT calculation (PBE) of a geometry-optimized RbTaFe2 structure.

As for the spin magnetization: 0.0 μB/cell. Its total DFT energy (no corrections) is -5.759 eV per atom. The value obtained for the formation energy is 1678 meV per atom.

It has space group Fm-3m (No. 225), with a = 6.4558 Å, b = 6.4558 Å, c = 6.4558 Å, α = 90.00°, β = 90.00° and γ = 90.00°. The inequivalent atoms are Rb at (0.0000, 0.0000, 0.0000), Ta at (0.0000, 0.0000, 0.5000) and Fe at (0.2500, 0.2500, 0.2500).


Record 3
The following is a DFT calculation (PBE) of a geometry-optimized Li3MoAs structure.

As for the spin magnetization: 4.8 μB/cell. Its total DFT energy (no corrections) is -3.001 eV per atom. The value obtained for the formation energy is 1243 meV per atom.

It has space group Pm-3m (No. 221), with a = 4.9189 Å, b = 4.9189 Å, c = 4.9189 Å, α = 90.00°, β = 90.00° and γ = 90.00°. The inequivalent atoms are Li at (0.0000, 0.0000, 0.5000), Mo at (0.0000, 0.0000, 0.0000) and As at (0.5000, 0.5000, 0.5000).


Record 4
The following is a DFT calculation (PBE) of a geometry-optimized UV structure.

As for the spin magnetization: 0.0 μB/cell. Its total DFT energy (no corrections) is -10.107 eV per atom. The value obtained for the formation energy is 96 meV per atom.

It has space group P2_1/m (No. 11), with a = 2.8495 Å, b = 4.6507 Å, c = 5.2555 Å, α = 90.00°, β = 105.11° and γ = 90.00°. The inequivalent atoms are U at (0.0899, 0.2500, 0.3821) and V at (0.3526, 0.7500, 0.0963).